Below is a geometry-optimized BaCrSb structure, with properties calculated at the PBE-GGA level.

```
BaCrSb
1.0
-0.766 -4.031 2.491
0.864 -0.221 -4.717
4.870 -0.363 0.909
Ba Cr Sb
1 1 1
Cartesian
0.000 0.000 0.000
2.211 -2.943 0.543
2.757 -1.673 -1.859
```

Properties
Calculated volume: 33.043 Å³ per atom
Crystal system: hexagonal
E_form (uncorrected): -0.918 eV/f.u.

***

Below is a geometry-optimized BaCrSb structure, with properties calculated at the PBE-GGA level.

```
BaCrSb
1.0
5.498 0.000 0.000
2.749 4.761 0.000
2.749 1.587 4.489
Ba Cr Sb
1 1 1
Cartesian
8.247 4.761 3.367
0.000 0.000 0.000
5.498 3.174 2.245
```

Properties
Calculated volume: 39.174 Å³ per atom
Crystal system: cubic
E_form (uncorrected): 1.572 eV/f.u.

***

Below is a geometry-optimized BaCrSb structure, with properties calculated at the PBE-GGA level.

```
BaCrSb
1.0
6.645 -0.190 0.205
5.608 3.570 0.206
1.037 0.285 3.749
Ba Cr Sb
1 1 1
Cartesian
1.077 0.296 3.737
4.221 1.163 2.801
9.029 2.490 1.370
```

Properties
Calculated volume: 30.682 Å³ per atom
Crystal system: tetragonal
E_form (uncorrected): 0.062 eV/f.u.